# KSiGeBr2

A relaxed structure of KSiGeBr2 (PBE, Alexandria via LeMat-Bulk).

Lattice parameters (Å, degrees): 5.8315 5.8315 6.1187 90.00 90.00 90.00
Space group P4/mmm (No. 123)
Asymmetric unit:
K: 0.0000 0.0000 0.0000
Si: 0.5000 0.5000 0.5000
Ge: 0.0000 0.0000 0.5000
Br: 0.0000 0.5000 0.0000

Values from the calculation:
ΔE_f (raw), eV/atom: 0.763
Total DFT energy (no corrections), hartree per atom: -0.0784
Volume, Å³/cell: 208

# KSmGe2Br8

A relaxed structure of KSmGe2Br8 (PBE, Alexandria via LeMat-Bulk).

Lattice parameters (Å, degrees): 6.7148 7.2833 9.2633 86.14 88.24 85.88
Space group P-1 (No. 2)
Asymmetric unit:
K: 0.0000 0.0000 0.0000
Sm: 0.0000 0.0000 0.5000
Ge: 0.4581 0.4559 0.2523
Br: 0.2322 0.8183 0.2830
Br: 0.2386 0.3223 0.4674
Br: 0.2666 0.8557 0.7247
Br: 0.2719 0.3612 0.0468

Values from the calculation:
ΔE_f (raw), eV/atom: -1.166
Total DFT energy (no corrections), hartree per atom: -0.1299
Volume, Å³/cell: 451

# KSn2GeBr8

A relaxed structure of KSn2GeBr8 (PBE, Alexandria via LeMat-Bulk).

Lattice parameters (Å, degrees): 6.7825 7.0702 8.8768 89.93 89.95 88.13
Space group P-1 (No. 2)
Asymmetric unit:
K: 0.0000 0.0000 0.0000
Sn: 0.4994 0.4996 0.2584
Ge: 0.0000 0.0000 0.5000
Br: 0.2340 0.8267 0.2862
Br: 0.2339 0.8265 0.7139
Br: 0.2506 0.3110 0.4996
Br: 0.2872 0.3568 0.0006

Values from the calculation:
ΔE_f (raw), eV/atom: -0.799
Total DFT energy (no corrections), hartree per atom: -0.1124
Volume, Å³/cell: 425

# KSnGeBr5

A relaxed structure of KSnGeBr5 (PBE, Alexandria via LeMat-Bulk).

Lattice parameters (Å, degrees): 10.5685 11.5990 10.9040 90.00 114.14 90.00
Space group C2/c (No. 15)
Asymmetric unit:
K: 0.0000 0.0749 0.2500
Sn: 0.2500 0.2500 0.0000
Ge: 0.0000 0.4832 0.2500
Br: 0.0000 0.2147 0.7500
Br: 0.0278 0.3304 0.0917
Br: 0.2129 0.0118 0.0846

Values from the calculation:
ΔE_f (raw), eV/atom: -0.921
Total DFT energy (no corrections), hartree per atom: -0.1169
Volume, Å³/cell: 1220

# K2SnGeBr6

A relaxed structure of K2SnGeBr6 (PBE, Alexandria via LeMat-Bulk).

Lattice parameters (Å, degrees): 7.8344 7.8344 21.3766 90.00 90.00 120.00
Space group R3 (No. 146, hexagonal axes)
Asymmetric unit:
K: 0.0000 0.0000 0.0000
K: 0.0000 0.0000 0.4995
Sn: 0.0000 0.0000 0.7132
Ge: 0.0000 0.0000 0.2151
Br: 0.0011 0.5981 0.4472
Br: 0.0197 0.4150 0.9438

Values from the calculation:
ΔE_f (raw), eV/atom: -1.109
Total DFT energy (no corrections), hartree per atom: -0.1174
Volume, Å³/cell: 1136

# KTbGe2Br8

A relaxed structure of KTbGe2Br8 (PBE, Alexandria via LeMat-Bulk).

Lattice parameters (Å, degrees): 6.6776 7.2789 9.2533 86.31 89.02 85.64
Space group P-1 (No. 2)
Asymmetric unit:
K: 0.0000 0.0000 0.0000
Tb: 0.0000 0.0000 0.5000
Ge: 0.4563 0.4506 0.2587
Br: 0.2285 0.8198 0.2891
Br: 0.2332 0.3180 0.4690
Br: 0.2667 0.8594 0.7231
Br: 0.2715 0.3605 0.0493

Values from the calculation:
ΔE_f (raw), eV/atom: -1.166
Total DFT energy (no corrections), hartree per atom: -0.1297
Volume, Å³/cell: 447

# K3Tl3GeBr8

A relaxed structure of K3Tl3GeBr8 (PBE, Alexandria via LeMat-Bulk).

Lattice parameters (Å, degrees): 9.4171 9.4171 23.1233 90.00 90.00 120.00
Space group R-3m (No. 166, hexagonal axes)
Asymmetric unit:
K: 0.0000 0.5000 0.0000
Tl: 0.0000 0.5000 0.5000
Ge: 0.0000 0.0000 0.0000
Br: 0.0000 0.0000 0.2521
Br: 0.0431 0.5215 0.7376

Values from the calculation:
ΔE_f (raw), eV/atom: -1.158
Total DFT energy (no corrections), hartree per atom: -0.1121
Volume, Å³/cell: 1776

# K2Tl3GeBr6

A relaxed structure of K2Tl3GeBr6 (PBE, Alexandria via LeMat-Bulk).

Lattice parameters (Å, degrees): 7.7834 13.5794 8.5531 90.00 108.24 90.00
Space group C2/m (No. 12)
Asymmetric unit:
K: 0.0000 0.1637 0.0000
Tl: 0.0000 0.0000 0.5000
Tl: 0.0000 0.3260 0.5000
Ge: 0.0000 0.5000 0.0000
Br: 0.2202 0.3511 0.2152
Br: 0.2199 0.5000 0.7682

Values from the calculation:
ΔE_f (raw), eV/atom: -0.937
Total DFT energy (no corrections), hartree per atom: -0.1078
Volume, Å³/cell: 859